Entry 1:
# La5YPb5 PBE-GGA optimized geometry
# - total magnetic moment (μB/f.u.) = 0.38
# - energy of formation from the pure elements (eV per atom) = -0.3765
# - Fermi-level density of states (states/eV/cell) = 12.49
# - space-group type = C2/m (12)
data_La5YPb5
_cell_length_a 8.227
_cell_length_b 8.227
_cell_length_c 8.807
_cell_angle_alpha 105.95
_cell_angle_beta 105.95
_cell_angle_gamma 46.80
_space_group_name_H-M_alt 'P 1'
_space_group_IT_number 1
loop_
_space_group_symop_operation_xyz
'x,y,z'
loop_
_atom_site_label
_atom_site_fract_x
_atom_site_fract_y
_atom_site_fract_z
La1 0.000 0.000 0.000
La2 0.329 0.329 0.169
La3 0.335 0.335 0.671
La4 0.665 0.665 0.329
La5 0.671 0.671 0.831
Y1 0.000 0.000 0.500
Pb1 0.162 0.162 0.339
Pb2 0.162 0.162 0.830
Pb3 0.500 0.500 0.500
Pb4 0.838 0.838 0.170
Pb5 0.838 0.838 0.661

***

Entry 2:
# LaYZnPb PBE-GGA optimized geometry
# - total magnetic moment (μB/f.u.) = 0.00
# - energy of formation from the pure elements (eV per atom) = -0.4205
# - Fermi-level density of states (states/eV/cell) = 3.19
# - space-group type = F-43m (216)
data_LaYZnPb
_cell_length_a 5.390
_cell_length_b 5.390
_cell_length_c 5.390
_cell_angle_alpha 60.00
_cell_angle_beta 60.00
_cell_angle_gamma 60.00
_space_group_name_H-M_alt 'P 1'
_space_group_IT_number 1
loop_
_space_group_symop_operation_xyz
'x,y,z'
loop_
_atom_site_label
_atom_site_fract_x
_atom_site_fract_y
_atom_site_fract_z
La1 0.000 0.000 0.000
Y1 0.500 0.500 0.500
Zn1 0.750 0.750 0.750
Pb1 0.250 0.250 0.250

***

Entry 3:
# LaZnPb PBE-GGA optimized geometry
# - total magnetic moment (μB/f.u.) = 0.00
# - energy of formation from the pure elements (eV per atom) = -0.4434
# - Fermi-level density of states (states/eV/cell) = 1.89
# - space-group type = P3m1 (156)
data_LaZnPb
_cell_length_a 4.639
_cell_length_b 4.639
_cell_length_c 4.486
_cell_angle_alpha 90.00
_cell_angle_beta 90.00
_cell_angle_gamma 120.00
_space_group_name_H-M_alt 'P 1'
_space_group_IT_number 1
loop_
_space_group_symop_operation_xyz
'x,y,z'
loop_
_atom_site_label
_atom_site_fract_x
_atom_site_fract_y
_atom_site_fract_z
La1 0.000 0.000 0.000
Zn1 0.333 0.667 0.605
Pb1 0.667 0.333 0.467

***

Entry 4:
# LaZn2Pb PBE-GGA optimized geometry
# - total magnetic moment (μB/f.u.) = 0.00
# - energy of formation from the pure elements (eV per atom) = -0.2553
# - Fermi-level density of states (states/eV/cell) = 1.35
# - space-group type = R-3m (166)
data_LaZn2Pb
_cell_length_a 5.847
_cell_length_b 5.847
_cell_length_c 5.847
_cell_angle_alpha 47.54
_cell_angle_beta 47.54
_cell_angle_gamma 47.54
_space_group_name_H-M_alt 'P 1'
_space_group_IT_number 1
loop_
_space_group_symop_operation_xyz
'x,y,z'
loop_
_atom_site_label
_atom_site_fract_x
_atom_site_fract_y
_atom_site_fract_z
La1 0.000 0.000 0.000
Zn1 0.232 0.232 0.232
Zn2 0.768 0.768 0.768
Pb1 0.500 0.500 0.500

***

Entry 5:
# LaZn2Pb2 PBE-GGA optimized geometry
# - total magnetic moment (μB/f.u.) = 0.00
# - energy of formation from the pure elements (eV per atom) = -0.2453
# - Fermi-level density of states (states/eV/cell) = 2.54
# - excess energy over the best structure of this formula in the dataset (meV/atom) = 0.0
# - space-group type = I4/mmm (139)
data_LaZn2Pb2
_cell_length_a 6.409
_cell_length_b 6.409
_cell_length_c 6.409
_cell_angle_alpha 134.98
_cell_angle_beta 134.98
_cell_angle_gamma 65.57
_space_group_name_H-M_alt 'P 1'
_space_group_IT_number 1
loop_
_space_group_symop_operation_xyz
'x,y,z'
loop_
_atom_site_label
_atom_site_fract_x
_atom_site_fract_y
_atom_site_fract_z
La1 0.000 0.000 0.000
Zn1 0.389 0.389 0.000
Zn2 0.611 0.611 0.000
Pb1 0.250 0.750 0.500
Pb2 0.750 0.250 0.500

***

Entry 6:
# La3Zn2Pb4 PBE-GGA optimized geometry
# - total magnetic moment (μB/f.u.) = 0.00
# - energy of formation from the pure elements (eV per atom) = -0.4300
# - Fermi-level density of states (states/eV/cell) = 5.13
# - space-group type = C2/m (12)
data_La3Zn2Pb4
_cell_length_a 6.518
_cell_length_b 6.518
_cell_length_c 9.521
_cell_angle_alpha 107.34
_cell_angle_beta 107.34
_cell_angle_gamma 42.83
_space_group_name_H-M_alt 'P 1'
_space_group_IT_number 1
loop_
_space_group_symop_operation_xyz
'x,y,z'
loop_
_atom_site_label
_atom_site_fract_x
_atom_site_fract_y
_atom_site_fract_z
La1 0.000 0.000 0.000
La2 0.370 0.370 0.315
La3 0.630 0.630 0.685
Zn1 0.298 0.298 0.630
Zn2 0.702 0.702 0.370
Pb1 0.080 0.080 0.378
Pb2 0.296 0.296 0.927
Pb3 0.704 0.704 0.073
Pb4 0.920 0.920 0.622

***

Entry 7:
# La2Zn2Pb PBE-GGA optimized geometry
# - total magnetic moment (μB/f.u.) = 0.00
# - energy of formation from the pure elements (eV per atom) = -0.4223
# - Fermi-level density of states (states/eV/cell) = 7.06
# - excess energy over the best structure of this formula in the dataset (meV/atom) = 0.0
# - space-group type = P4/mbm (127)
data_La2Zn2Pb
_cell_length_a 7.531
_cell_length_b 7.531
_cell_length_c 4.717
_cell_angle_alpha 90.00
_cell_angle_beta 90.00
_cell_angle_gamma 90.00
_space_group_name_H-M_alt 'P 1'
_space_group_IT_number 1
loop_
_space_group_symop_operation_xyz
'x,y,z'
loop_
_atom_site_label
_atom_site_fract_x
_atom_site_fract_y
_atom_site_fract_z
La1 0.174 0.326 0.000
La2 0.326 0.826 0.000
La3 0.674 0.174 0.000
La4 0.826 0.674 0.000
Zn1 0.120 0.620 0.500
Zn2 0.380 0.120 0.500
Zn3 0.620 0.880 0.500
Zn4 0.880 0.380 0.500
Pb1 0.000 0.000 0.500
Pb2 0.500 0.500 0.500

***

Entry 8:
# LaZnPb PBE-GGA optimized geometry
# - total magnetic moment (μB/f.u.) = 0.00
# - energy of formation from the pure elements (eV per atom) = -0.0286
# - Fermi-level density of states (states/eV/cell) = 2.40
# - space-group type = F-43m (216)
data_LaZnPb
_cell_length_a 5.208
_cell_length_b 5.208
_cell_length_c 5.208
_cell_angle_alpha 60.00
_cell_angle_beta 60.00
_cell_angle_gamma 60.00
_space_group_name_H-M_alt 'P 1'
_space_group_IT_number 1
loop_
_space_group_symop_operation_xyz
'x,y,z'
loop_
_atom_site_label
_atom_site_fract_x
_atom_site_fract_y
_atom_site_fract_z
La1 0.000 0.000 0.000
Zn1 0.750 0.750 0.750
Pb1 0.250 0.250 0.250

***

Entry 9:
# La12ZnPb3 PBE-GGA optimized geometry
# - total magnetic moment (μB/f.u.) = 0.00
# - energy of formation from the pure elements (eV per atom) = -0.3064
# - Fermi-level density of states (states/eV/cell) = 23.03
# - space-group type = P4/mmm (123)
data_La12ZnPb3
_cell_length_a 5.074
_cell_length_b 5.074
_cell_length_c 20.023
_cell_angle_alpha 90.00
_cell_angle_beta 90.00
_cell_angle_gamma 90.00
_space_group_name_H-M_alt 'P 1'
_space_group_IT_number 1
loop_
_space_group_symop_operation_xyz
'x,y,z'
loop_
_atom_site_label
_atom_site_fract_x
_atom_site_fract_y
_atom_site_fract_z
La1 0.000 0.000 0.000
La2 0.000 0.000 0.245
La3 0.000 0.000 0.500
La4 0.000 0.000 0.755
La5 0.000 0.500 0.120
La6 0.000 0.500 0.373
La7 0.000 0.500 0.627
La8 0.000 0.500 0.880
La9 0.500 0.000 0.120
La10 0.500 0.000 0.373
La11 0.500 0.000 0.627
La12 0.500 0.000 0.880
Zn1 0.500 0.500 0.000
Pb1 0.500 0.500 0.246
Pb2 0.500 0.500 0.500
Pb3 0.500 0.500 0.754

***

Entry 10:
# La2Zn2Pb PBE-GGA optimized geometry
# - total magnetic moment (μB/f.u.) = 0.00
# - energy of formation from the pure elements (eV per atom) = -0.1486
# - Fermi-level density of states (states/eV/cell) = 6.37
# - excess energy over the best structure of this formula in the dataset (meV/atom) = 273.7
# - space-group type = I4/mmm (139)
data_La2Zn2Pb
_cell_length_a 5.842
_cell_length_b 5.842
_cell_length_c 5.842
_cell_angle_alpha 117.89
_cell_angle_beta 117.89
_cell_angle_gamma 93.70
_space_group_name_H-M_alt 'P 1'
_space_group_IT_number 1
loop_
_space_group_symop_operation_xyz
'x,y,z'
loop_
_atom_site_label
_atom_site_fract_x
_atom_site_fract_y
_atom_site_fract_z
La1 0.250 0.750 0.500
La2 0.750 0.250 0.500
Zn1 0.145 0.145 0.000
Zn2 0.855 0.855 0.000
Pb1 0.500 0.500 0.000

***

- Look up the Fermi-level density of states of the ninth one.
  23.03 states/eV/cell